Entry 1:
Material: ScIrW4
Method: DFT, PBE
State: relaxed

Unit cell a=5.2830 b=5.2830 c=5.2830 alpha=60.00 beta=60.00 gamma=60.00
Sites, in units of the cell vectors:
Sc1 0.0000 0.0000 0.0000
Ir1 0.2500 0.2500 0.2500
W1 0.1204 0.6265 0.6265
W2 0.6265 0.1204 0.6265
W3 0.6265 0.6265 0.1204
W4 0.6265 0.6265 0.6265

Summary:
Total energy: -65.6 eV/f.u.
Space group: F-43m (216)
Energy of formation: 0.236 eV/atom
Total magnetization: 0.0 μB per formula unit

***

Entry 2:
Material: AcTb6Dy8
Method: DFT, PBE
State: relaxed

Unit cell a=8.2447 b=8.2447 c=8.2447 alpha=71.94 beta=71.94 gamma=71.94
Sites, in units of the cell vectors:
Ac1 0.0000 0.0000 0.0000
Tb1 0.1721 0.6173 0.4318
Tb2 0.3827 0.5682 0.8279
Tb3 0.4318 0.1721 0.6173
Tb4 0.5682 0.8279 0.3827
Tb5 0.6173 0.4318 0.1721
Tb6 0.8279 0.3827 0.5682
Dy1 0.0558 0.3877 0.8589
Dy2 0.1411 0.9442 0.6123
Dy3 0.2364 0.2364 0.2364
Dy4 0.3877 0.8589 0.0558
Dy5 0.6123 0.1411 0.9442
Dy6 0.7636 0.7636 0.7636
Dy7 0.8589 0.0558 0.3877
Dy8 0.9442 0.6123 0.1411

Summary:
Total energy: -65.4 eV/f.u.
Space group: R-3 (148)
Energy of formation: 0.222 eV/atom
E above lowest polymorph: 74 meV per atom
Total magnetization: 0.0 μB per formula unit

***

Entry 3:
Material: Sc3AgN
Method: DFT, PBE
State: relaxed

Unit cell a=7.9819 b=7.9819 c=6.2576 alpha=90.00 beta=90.00 gamma=109.25
Sites, in units of the cell vectors:
Sc1 0.0203 0.4797 0.7500
Sc2 0.1152 0.8848 0.7919
Sc3 0.2323 0.2323 0.5000
Sc4 0.2677 0.2677 0.0000
Sc5 0.3848 0.6152 0.2919
Sc6 0.4797 0.0203 0.2500
Sc7 0.5203 0.9797 0.7500
Sc8 0.6152 0.3848 0.7081
Sc9 0.7323 0.7323 0.0000
Sc10 0.7677 0.7677 0.5000
Sc11 0.8848 0.1152 0.2081
Sc12 0.9797 0.5203 0.2500
Ag1 0.1062 0.8938 0.2599
Ag2 0.3938 0.6062 0.7599
Ag3 0.6062 0.3938 0.2401
Ag4 0.8938 0.1062 0.7401
N1 0.1353 0.3647 0.2500
N2 0.3647 0.1353 0.7500
N3 0.6353 0.8647 0.2500
N4 0.8647 0.6353 0.7500

Summary:
Total energy: -33.4 eV/f.u.
Space group: Cmce (64)
Energy relative to the elements, uncorrected: -653 meV/atom
E above lowest polymorph: 267 meV per atom
Total magnetization: 0.0 μB per formula unit

***

Entry 4:
Material: CaTlH
Method: DFT, PBE
State: relaxed

Unit cell a=3.8040 b=3.8040 c=9.0297 alpha=90.00 beta=90.00 gamma=100.63
Sites, in units of the cell vectors:
Ca1 0.0455 0.9545 0.7500
Ca2 0.9545 0.0455 0.2500
Tl1 0.5000 0.5000 0.0000
Tl2 0.5000 0.5000 0.5000
H1 0.3446 0.6554 0.2500
H2 0.6554 0.3446 0.7500

Summary:
Total energy: -8.3 eV/f.u.
Space group: Cmcm (63)
E above lowest polymorph: 248 meV per atom
Total magnetization: 0.0 μB per formula unit

***

Entry 5:
Material: RbV
Method: DFT, PBE
State: relaxed

Unit cell a=3.4287 b=3.4287 c=12.9678 alpha=90.00 beta=90.00 gamma=120.00
Sites, in units of the cell vectors:
Rb1 0.3333 0.6667 0.0000
Rb2 0.6667 0.3333 0.5000
V1 0.3333 0.6667 0.7393
V2 0.6667 0.3333 0.2393

Summary:
Total energy: -6.8 eV/f.u.
Space group: P6_3mc (186)
Energy of formation: 1.641 eV/atom
E above lowest polymorph: 811 meV per atom
Total magnetization: 3.9 μB per formula unit

***

Entry 6:
Material: PrY4Tm15
Method: DFT, PBE
State: relaxed

Unit cell a=4.9717 b=4.9717 c=24.8600 alpha=90.00 beta=90.00 gamma=90.00
Sites, in units of the cell vectors:
Pr1 0.0000 0.0000 0.0000
Y1 0.0000 0.0000 0.2008
Y2 0.0000 0.0000 0.4003
Y3 0.0000 0.0000 0.5997
Y4 0.0000 0.0000 0.7992
Tm1 0.0000 0.5000 0.1013
Tm2 0.0000 0.5000 0.3006
Tm3 0.0000 0.5000 0.5000
Tm4 0.0000 0.5000 0.6994
Tm5 0.0000 0.5000 0.8987
Tm6 0.5000 0.0000 0.1013
Tm7 0.5000 0.0000 0.3006
Tm8 0.5000 0.0000 0.5000
Tm9 0.5000 0.0000 0.6994
Tm10 0.5000 0.0000 0.8987
Tm11 0.5000 0.5000 0.0000
Tm12 0.5000 0.5000 0.2013
Tm13 0.5000 0.5000 0.4003
Tm14 0.5000 0.5000 0.5997
Tm15 0.5000 0.5000 0.7987

Summary:
Total energy: -97.1 eV/f.u.
Space group: P4/mmm (123)
Energy of formation: 0.030 eV/atom
Total magnetization: 0.0 μB per formula unit

***

Entry 7:
Material: CsAcPbS3
Method: DFT, PBE
State: relaxed

Unit cell a=9.7868 b=4.3755 c=10.7397 alpha=90.00 beta=99.26 gamma=90.00
Sites, in units of the cell vectors:
Cs1 0.1688 0.2500 0.1963
Cs2 0.8312 0.7500 0.8037
Ac1 0.3696 0.7500 0.8450
Ac2 0.6304 0.2500 0.1550
Pb1 0.1348 0.2500 0.5793
Pb2 0.8652 0.7500 0.4207
S1 0.1489 0.2500 0.8296
S2 0.3005 0.7500 0.5634
S3 0.4240 0.7500 0.1259
S4 0.5760 0.2500 0.8741
S5 0.6995 0.2500 0.4366
S6 0.8511 0.7500 0.1704

Summary:
Total energy: -29.2 eV/f.u.
Space group: P2_1/m (11)
Energy relative to the elements, uncorrected: -1357 meV/atom
Total magnetization: 0.0 μB per formula unit

***

Entry 8:
Material: Er2PaTaN4
Method: DFT, PBE
State: relaxed

Unit cell a=5.7847 b=3.3488 c=5.8488 alpha=90.00 beta=108.98 gamma=90.00
Sites, in units of the cell vectors:
Er1 0.0000 0.0000 0.0000
Er2 0.5000 0.5000 0.0000
Pa1 0.0000 0.5000 0.5000
Ta1 0.5000 0.0000 0.5000
N1 0.2592 0.0000 0.7412
N2 0.2661 0.5000 0.2699
N3 0.7339 0.5000 0.7301
N4 0.7408 0.0000 0.2588

Summary:
Total energy: -76.0 eV/f.u.
Space group: P2/m (10)
Energy relative to the elements, uncorrected: -1527 meV/atom
Total magnetization: 0.0 μB per formula unit